DFT (PBE with a Hubbard U) results for a geometry-optimized BaV2PbO6 structure.

a b c (Å): 7.671 7.671 5.977
angles (deg): 98.54 98.54 86.79
Sites, in units of the cell vectors:
Ba 0.172 0.828 0.250
Ba 0.828 0.172 0.750
V 0.306 0.120 0.773
V 0.880 0.694 0.727
V 0.694 0.880 0.227
V 0.120 0.306 0.273
Pb 0.597 0.403 0.250
Pb 0.403 0.597 0.750
O 0.902 0.363 0.170
O 0.637 0.098 0.330
O 0.098 0.637 0.830
O 0.363 0.902 0.670
O 0.180 0.133 0.029
O 0.867 0.820 0.471
O 0.820 0.867 0.971
O 0.133 0.180 0.529
O 0.273 0.480 0.346
O 0.520 0.727 0.154
O 0.727 0.520 0.654
O 0.480 0.273 0.846

Calculated values
E_tot: -7.048 eV/atom
Symmetry: C2/c